1.
Li2Fe2H7: optimized geometry, PBE.

Calculated values
* space group: No. 65
* total energy: -4.103 eV/atom
* theoretical density: 3.2 g/cm3
* D(E_F): 0.289 states/eV/atom

Cell: 4.3390 4.0283 4.0283 Å, 99.41 90.00 90.00°
Fractional positions:
H 0.2406 0.0000 0.5000
H 0.8058 0.5000 0.5000
H 0.2406 0.5000 0.0000
H 0.7594 0.5000 0.0000
H 0.7594 0.0000 0.5000
H 0.0000 0.0000 0.0000
H 0.1942 0.5000 0.5000
Fe 0.0000 0.2673 0.7327
Fe 0.0000 0.7327 0.2673
Li 0.5000 0.2421 0.2421
Li 0.5000 0.7579 0.7579

=====

2.
Li3FeH6: optimized geometry, PBE.

Calculated values
* space group: No. 12
* total energy: -3.654 eV/atom
* theoretical density: 1.9 g/cm3
* energy relative to the lowest polymorph listed for this composition: 0.000 eV/atom
* D(E_F): 0.725 states/eV/atom

Cell: 4.6423 4.6795 4.6795 Å, 60.04 61.29 61.29°
Fractional positions:
H 0.3334 0.2043 0.6761
H 0.6666 0.7957 0.3239
H 0.3334 0.6761 0.2043
H 0.6666 0.3239 0.7957
H 0.8207 0.2764 0.2764
H 0.1793 0.7236 0.7236
Li 0.0000 0.0000 0.0000
Li 0.2714 0.2454 0.2454
Li 0.7286 0.7546 0.7546
Fe 0.5000 0.5000 0.5000

=====

3.
LiFe3H: optimized geometry, PBE.

Calculated values
* space group: No. 221
* total energy: -5.989 eV/atom
* theoretical density: 5.9 g/cm3
* energy relative to the lowest polymorph listed for this composition: 0.000 eV/atom
* D(E_F): 0.557 states/eV/atom

Cell: 3.6629 3.6629 3.6629 Å, 90.00 90.00 90.00°
Fractional positions:
Fe 0.0000 0.0000 0.5000
Fe 0.5000 0.0000 0.0000
Fe 0.0000 0.5000 0.0000
H 0.0000 0.0000 0.0000
Li 0.5000 0.5000 0.5000

=====

4.
Li2FeH2: optimized geometry, PBE.

Calculated values
* space group: No. 127
* total energy: -3.687 eV/atom
* theoretical density: 2.9 g/cm3
* D(E_F): 0.466 states/eV/atom

Cell: 5.2140 5.2140 3.0712 Å, 90.00 90.00 90.00°
Fractional positions:
Fe 0.5000 0.5000 0.0000
Fe 0.0000 0.0000 0.0000
H 0.6927 0.1927 0.0000
H 0.3073 0.8073 0.0000
H 0.1927 0.3073 0.0000
H 0.8073 0.6927 0.0000
Li 0.6558 0.8442 0.5000
Li 0.8442 0.3442 0.5000
Li 0.3442 0.1558 0.5000
Li 0.1558 0.6558 0.5000

=====

5.
Li3FeH8: optimized geometry, PBE.

Calculated values
* space group: No. 139
* total energy: -3.545 eV/atom
* theoretical density: 1.8 g/cm3
* energy relative to the lowest polymorph listed for this composition: 0.016 eV/atom
* D(E_F): 0.080 states/eV/atom

Cell: 4.2257 4.2257 5.2394 Å, 113.78 113.78 90.00°
Fractional positions:
H 0.1131 0.6783 0.7915
H 0.8869 0.3217 0.2085
H 0.6783 0.1131 0.7915
H 0.3217 0.3217 0.2085
H 0.3217 0.8869 0.2085
H 0.8869 0.8869 0.2085
H 0.6783 0.6783 0.7915
H 0.1131 0.1131 0.7915
Li 0.5000 0.5000 0.0000
Li 0.7500 0.2500 0.5000
Li 0.2500 0.7500 0.5000
Fe 0.0000 0.0000 0.0000

=====

6.
Li3FeH: optimized geometry, PBE.

Calculated values
* space group: No. 221
* total energy: -2.439 eV/atom
* theoretical density: 1.1 g/cm3
* energy relative to the lowest polymorph listed for this composition: 0.801 eV/atom
* D(E_F): 0.572 states/eV/atom

Cell: 4.8901 4.8901 4.8901 Å, 90.00 90.00 90.00°
Fractional positions:
H 0.5000 0.5000 0.5000
Fe 0.0000 0.0000 0.0000
Li 0.5000 0.0000 0.0000
Li 0.0000 0.0000 0.5000
Li 0.0000 0.5000 0.0000

=====

7.
Li3FeH8: optimized geometry, PBE.

Calculated values
* space group: No. 221
* total energy: -3.561 eV/atom
* theoretical density: 1.8 g/cm3
* energy relative to the lowest polymorph listed for this composition: 0.000 eV/atom
* D(E_F): 0.058 states/eV/atom

Cell: 4.2679 4.2679 4.2679 Å, 90.00 90.00 90.00°
Fractional positions:
H 0.7878 0.2122 0.2122
H 0.2122 0.2122 0.2122
H 0.2122 0.7878 0.2122
H 0.2122 0.7878 0.7878
H 0.7878 0.7878 0.2122
H 0.7878 0.2122 0.7878
H 0.7878 0.7878 0.7878
H 0.2122 0.2122 0.7878
Li 0.0000 0.5000 0.5000
Li 0.5000 0.0000 0.5000
Li 0.5000 0.5000 0.0000
Fe 0.0000 0.0000 0.0000

=====

8.
Li2FeH6: optimized geometry, PBE.

Calculated values
* space group: No. 225
* total energy: -3.612 eV/atom
* theoretical density: 1.9 g/cm3
* energy relative to the lowest polymorph listed for this composition: 0.153 eV/atom
* D(E_F): 0.644 states/eV/atom

Cell: 4.5805 4.5805 4.5805 Å, 60.00 60.00 60.00°
Fractional positions:
H 0.7560 0.2440 0.2440
H 0.2440 0.7560 0.7560
H 0.7560 0.2440 0.7560
H 0.2440 0.2440 0.7560
H 0.7560 0.7560 0.2440
H 0.2440 0.7560 0.2440
Li 0.2500 0.2500 0.2500
Li 0.7500 0.7500 0.7500
Fe 0.0000 0.0000 0.0000

=====

The lowest D(E_F) belongs to which entry? number 7